1) # PBE HfSb2TeH, relaxed
data_HfSb2TeH
_space_group_name_H-M_alt 'P 4/m m m'
_space_group_IT_number 123
_space_group_name_Hall '-P 4 2'
_cell_length_a 4.358
_cell_length_b 4.358
_cell_length_c 5.599
_cell_angle_alpha 90.00
_cell_angle_beta 90.00
_cell_angle_gamma 90.00
loop_
_atom_site_label
_atom_site_fract_x
_atom_site_fract_y
_atom_site_fract_z
Hf1 0.000 0.000 0.000
Sb1 0.000 0.500 0.500
Te1 0.500 0.500 0.000
H1 0.500 0.500 0.500
# calculated volume	106.34	Å³ per cell
# density	8.598	g/cm3

***

2) # PBE HfSb2TeH, relaxed
data_HfSb2TeH
_space_group_name_H-M_alt 'P 4/m m m'
_space_group_IT_number 123
_space_group_name_Hall '-P 4 2'
_cell_length_a 5.535
_cell_length_b 5.535
_cell_length_c 5.560
_cell_angle_alpha 90.00
_cell_angle_beta 90.00
_cell_angle_gamma 90.00
loop_
_atom_site_label
_atom_site_fract_x
_atom_site_fract_y
_atom_site_fract_z
Hf1 0.000 0.000 0.000
Sb1 0.000 0.500 0.000
Te1 0.000 0.000 0.500
H1 0.500 0.500 0.500
# calculated volume	170.31	Å³ per cell
# density	5.368	g/cm3

***

Energetically preferred structure: 1) | next structure: +0.255 eV/atom

***

1) # PBE HfScH2, relaxed
data_HfScH2
_space_group_name_H-M_alt 'R 3 m'
_space_group_IT_number 160
_space_group_name_Hall 'R 3 -2"'
_cell_length_a 3.2032
_cell_length_b 3.2032
_cell_length_c 15.9956
_cell_angle_alpha 90.00
_cell_angle_beta 90.00
_cell_angle_gamma 120.00
loop_
_atom_site_label
_atom_site_fract_x
_atom_site_fract_y
_atom_site_fract_z
Hf1 0.0000 0.0000 0.0000
Sc1 0.0000 0.0000 0.1791
H1 0.0000 0.0000 0.5910
H2 0.0000 0.0000 0.7479
# calculated volume	142.13	Å³ per cell
# density	7.902	g/cm3

***

2) # PBE HfScH2, relaxed
data_HfScH2
_space_group_name_H-M_alt 'R -3 m'
_space_group_IT_number 166
_space_group_name_Hall '-R 3 2"'
_cell_length_a 3.2011
_cell_length_b 3.2011
_cell_length_c 15.7581
_cell_angle_alpha 90.00
_cell_angle_beta 90.00
_cell_angle_gamma 120.00
loop_
_atom_site_label
_atom_site_fract_x
_atom_site_fract_y
_atom_site_fract_z
Hf1 0.0000 0.0000 0.0000
Sc1 0.0000 0.0000 0.5000
H1 0.0000 0.0000 0.2596
# calculated volume	139.84	Å³ per cell
# density	8.032	g/cm3

***

3) # PBE HfScH2, relaxed
data_HfScH2
_space_group_name_H-M_alt 'F m -3 m'
_space_group_IT_number 225
_space_group_name_Hall '-F 4 2 3'
_cell_length_a 5.785
_cell_length_b 5.785
_cell_length_c 5.785
_cell_angle_alpha 90.00
_cell_angle_beta 90.00
_cell_angle_gamma 90.00
loop_
_atom_site_label
_atom_site_fract_x
_atom_site_fract_y
_atom_site_fract_z
Hf1 0.000 0.000 0.000
Sc1 0.000 0.000 0.500
H1 0.250 0.250 0.250
# calculated volume	193.63	Å³ per cell
# density	7.734	g/cm3

***

Energetically preferred structure: 2) | next structure: +0.097 eV/atom

***

1) # PBE Hf3ScH, relaxed
data_Hf3ScH
_space_group_name_H-M_alt 'P m -3 m'
_space_group_IT_number 221
_space_group_name_Hall '-P 4 2 3'
_cell_length_a 4.507
_cell_length_b 4.507
_cell_length_c 4.507
_cell_angle_alpha 90.00
_cell_angle_beta 90.00
_cell_angle_gamma 90.00
loop_
_atom_site_label
_atom_site_fract_x
_atom_site_fract_y
_atom_site_fract_z
Hf1 0.000 0.000 0.500
Sc1 0.500 0.500 0.500
H1 0.000 0.000 0.000
# calculated volume	91.57	Å³ per cell
# density	10.544	g/cm3

***

2) # PBE Hf3ScH, relaxed
data_Hf3ScH
_space_group_name_H-M_alt 'P m -3 m'
_space_group_IT_number 221
_space_group_name_Hall '-P 4 2 3'
_cell_length_a 5.040
_cell_length_b 5.040
_cell_length_c 5.040
_cell_angle_alpha 90.00
_cell_angle_beta 90.00
_cell_angle_gamma 90.00
loop_
_atom_site_label
_atom_site_fract_x
_atom_site_fract_y
_atom_site_fract_z
Hf1 0.000 0.000 0.500
Sc1 0.000 0.000 0.000
H1 0.500 0.500 0.500
# calculated volume	128.01	Å³ per cell
# density	7.542	g/cm3

***

Energetically preferred structure: 1) | next structure: +1.991 eV/atom

***

1) # PBE HfScH, relaxed
data_HfScH
_space_group_name_H-M_alt 'P n m a'
_space_group_IT_number 62
_cell_length_a 10.373
_cell_length_b 3.217
_cell_length_c 5.616
_cell_angle_alpha 90.00
_cell_angle_beta 90.00
_cell_angle_gamma 90.00
loop_
_space_group_symop_operation_xyz
'x,y,z'
'-x,-y,-z'
'-x+1/2,-y,z+1/2'
'x+1/2,y,-z+1/2'
'x+1/2,-y+1/2,-z+1/2'
'-x+1/2,y+1/2,z+1/2'
'-x,y+1/2,-z'
'x,-y+1/2,z'
loop_
_atom_site_label
_atom_site_fract_x
_atom_site_fract_y
_atom_site_fract_z
Hf1 0.250 0.250 0.081
Sc1 0.001 0.250 0.749
H1 0.137 0.750 0.911
# calculated volume	187.37	Å³ per cell
# density	7.957	g/cm3

***

2) # PBE HfScH, relaxed
data_HfScH
_space_group_name_H-M_alt 'P n m a'
_space_group_IT_number 62
_cell_length_a 5.379
_cell_length_b 6.634
_cell_length_c 5.379
_cell_angle_alpha 90.00
_cell_angle_beta 90.00
_cell_angle_gamma 90.00
loop_
_space_group_symop_operation_xyz
'x,y,z'
'-x,-y,-z'
'-x+1/2,-y,z+1/2'
'x+1/2,y,-z+1/2'
'x+1/2,-y+1/2,-z+1/2'
'-x+1/2,y+1/2,z+1/2'
'-x,y+1/2,-z'
'x,-y+1/2,z'
loop_
_atom_site_label
_atom_site_fract_x
_atom_site_fract_y
_atom_site_fract_z
Hf1 0.006 0.250 0.002
Sc1 0.000 0.000 0.500
H1 0.148 0.750 0.341
# calculated volume	191.97	Å³ per cell
# density	7.766	g/cm3

***

3) # PBE HfScH, relaxed
data_HfScH
_space_group_name_H-M_alt 'P n m a'
_space_group_IT_number 62
_cell_length_a 6.311
_cell_length_b 3.044
_cell_length_c 10.678
_cell_angle_alpha 90.00
_cell_angle_beta 90.00
_cell_angle_gamma 90.00
loop_
_space_group_symop_operation_xyz
'x,y,z'
'-x,-y,-z'
'-x+1/2,-y,z+1/2'
'x+1/2,y,-z+1/2'
'x+1/2,-y+1/2,-z+1/2'
'-x+1/2,y+1/2,z+1/2'
'-x,y+1/2,-z'
'x,-y+1/2,z'
loop_
_atom_site_label
_atom_site_fract_x
_atom_site_fract_y
_atom_site_fract_z
Hf1 0.119 0.250 0.098
Sc1 0.130 0.250 0.389
H1 0.124 0.750 0.242
# calculated volume	205.11	Å³ per cell
# density	7.269	g/cm3

***

Energetically preferred structure: 1) | next structure: +0.055 eV/atom

***

1) # PBE HfScH, relaxed
data_HfScH
_space_group_name_H-M_alt 'P n m a'
_space_group_IT_number 62
_cell_length_a 5.760
_cell_length_b 4.982
_cell_length_c 6.745
_cell_angle_alpha 90.00
_cell_angle_beta 90.00
_cell_angle_gamma 90.00
loop_
_space_group_symop_operation_xyz
'x,y,z'
'-x,-y,-z'
'-x+1/2,-y,z+1/2'
'x+1/2,y,-z+1/2'
'x+1/2,-y+1/2,-z+1/2'
'-x+1/2,y+1/2,z+1/2'
'-x,y+1/2,-z'
'x,-y+1/2,z'
loop_
_atom_site_label
_atom_site_fract_x
_atom_site_fract_y
_atom_site_fract_z
Hf1 0.065 0.250 0.114
Sc1 0.096 0.250 0.635
H1 0.090 0.750 0.622
# calculated volume	193.58	Å³ per cell
# density	7.701	g/cm3

***

2) # PBE HfScH, relaxed
data_HfScH
_space_group_name_H-M_alt 'P 3 m 1'
_space_group_IT_number 156
_cell_length_a 3.2605
_cell_length_b 3.2605
_cell_length_c 5.0873
_cell_angle_alpha 90.00
_cell_angle_beta 90.00
_cell_angle_gamma 120.00
loop_
_space_group_symop_operation_xyz
'x,y,z'
'-y,x-y,z'
'-x+y,-x,z'
'-y,-x,z'
'-x+y,y,z'
'x,x-y,z'
loop_
_atom_site_label
_atom_site_fract_x
_atom_site_fract_y
_atom_site_fract_z
Hf1 0.0000 0.0000 0.0000
Sc1 0.3333 0.6667 0.5031
H1 0.6667 0.3333 0.2309
# calculated volume	46.84	Å³ per cell
# density	7.958	g/cm3

***

Energetically preferred structure: 1) | next structure: +0.026 eV/atom

***

1) # PBE HfSc2H, relaxed
data_HfSc2H
_space_group_name_H-M_alt 'R -3 m'
_space_group_IT_number 166
_space_group_name_Hall '-R 3 2"'
_cell_length_a 3.2490
_cell_length_b 3.2490
_cell_length_c 23.0095
_cell_angle_alpha 90.00
_cell_angle_beta 90.00
_cell_angle_gamma 120.00
loop_
_atom_site_label
_atom_site_fract_x
_atom_site_fract_y
_atom_site_fract_z
Hf1 0.0000 0.0000 0.0000
Sc1 0.0000 0.0000 0.2234
H1 0.0000 0.0000 0.5000
# calculated volume	210.34	Å³ per cell
# density	6.381	g/cm3

***

2) # PBE HfSc2H, relaxed
data_HfSc2H
_space_group_name_H-M_alt 'P 4/m m m'
_space_group_IT_number 123
_space_group_name_Hall '-P 4 2'
_cell_length_a 3.043
_cell_length_b 3.043
_cell_length_c 7.680
_cell_angle_alpha 90.00
_cell_angle_beta 90.00
_cell_angle_gamma 90.00
loop_
_atom_site_label
_atom_site_fract_x
_atom_site_fract_y
_atom_site_fract_z
Hf1 0.000 0.000 0.000
Sc1 0.500 0.500 0.303
H1 0.000 0.000 0.500
# calculated volume	71.13	Å³ per cell
# density	6.289	g/cm3

***

3) # PBE HfSc2H, relaxed
data_HfSc2H
_space_group_name_H-M_alt 'F m -3 m'
_space_group_IT_number 225
_space_group_name_Hall '-F 4 2 3'
_cell_length_a 6.825
_cell_length_b 6.825
_cell_length_c 6.825
_cell_angle_alpha 90.00
_cell_angle_beta 90.00
_cell_angle_gamma 90.00
loop_
_atom_site_label
_atom_site_fract_x
_atom_site_fract_y
_atom_site_fract_z
Hf1 0.000 0.000 0.000
Sc1 0.250 0.250 0.250
H1 0.000 0.000 0.500
# calculated volume	317.87	Å³ per cell
# density	5.630	g/cm3

***

Energetically preferred structure: 1) | next structure: +0.282 eV/atom

***

1) # PBE HfSc2H, relaxed
data_HfSc2H
_space_group_name_H-M_alt 'I -4 2 d'
_space_group_IT_number 122
_space_group_name_Hall 'I -4 2bw'
_cell_length_a 6.419
_cell_length_b 6.419
_cell_length_c 7.060
_cell_angle_alpha 90.00
_cell_angle_beta 90.00
_cell_angle_gamma 90.00
loop_
_atom_site_label
_atom_site_fract_x
_atom_site_fract_y
_atom_site_fract_z
Hf1 0.000 0.000 0.000
Sc1 0.114 0.250 0.625
H1 0.000 0.000 0.500
# calculated volume	290.89	Å³ per cell
# density	6.152	g/cm3

***

2) # PBE HfSc2H, relaxed
data_HfSc2H
_space_group_name_H-M_alt 'R -3 m'
_space_group_IT_number 166
_space_group_name_Hall '-R 3 2"'
_cell_length_a 3.2571
_cell_length_b 3.2571
_cell_length_c 26.4640
_cell_angle_alpha 90.00
_cell_angle_beta 90.00
_cell_angle_gamma 120.00
loop_
_atom_site_label
_atom_site_fract_x
_atom_site_fract_y
_atom_site_fract_z
Hf1 0.0000 0.0000 0.0000
Sc1 0.0000 0.0000 0.4280
H1 0.0000 0.0000 0.5000
# calculated volume	243.14	Å³ per cell
# density	5.520	g/cm3

***

Energetically preferred structure: 1) | next structure: +0.190 eV/atom

***

1) # PBE HfScH4, relaxed
data_HfScH4
_space_group_name_H-M_alt 'I 41 m d'
_space_group_IT_number 109
_space_group_name_Hall 'I 4bw -2'
_cell_length_a 5.851
_cell_length_b 5.851
_cell_length_c 6.838
_cell_angle_alpha 90.00
_cell_angle_beta 90.00
_cell_angle_gamma 90.00
loop_
_atom_site_label
_atom_site_fract_x
_atom_site_fract_y
_atom_site_fract_z
Hf1 0.000 0.000 0.000
Sc1 0.000 0.000 0.492
H1 0.000 0.328 0.494
H2 0.000 0.331 0.998
# calculated volume	234.12	Å³ per cell
# density	6.454	g/cm3

***

2) # PBE HfScH4, relaxed
data_HfScH4
_space_group_name_H-M_alt 'I 41/a m d'
_space_group_IT_number 141
_cell_length_a 4.737
_cell_length_b 4.737
_cell_length_c 9.333
_cell_angle_alpha 90.00
_cell_angle_beta 90.00
_cell_angle_gamma 90.00
loop_
_space_group_symop_operation_xyz
'x,y,z'
'-x,-y,-z'
'-y+1/4,x+3/4,z+1/4'
'y+1/4,-x+3/4,-z+1/4'
'-x+1/2,-y,z+1/2'
'x+1/2,y,-z+1/2'
'y+1/4,-x+1/4,z+3/4'
'-y+1/4,x+1/4,-z+3/4'
'x,-y,-z'
'-x,y,z'
'-y+1/4,-x+1/4,-z+3/4'
'y+1/4,x+1/4,z+3/4'
'-x+1/2,y,-z+1/2'
'x+1/2,-y,z+1/2'
'y+1/4,x+3/4,-z+1/4'
'-y+1/4,-x+3/4,z+1/4'
'x+1/2,y+1/2,z+1/2'
'-x+1/2,-y+1/2,-z+1/2'
'-y+3/4,x+1/4,z+3/4'
'y+3/4,-x+1/4,-z+3/4'
'-x,-y+1/2,z'
'x,y+1/2,-z'
'y+3/4,-x+3/4,z+1/4'
'-y+3/4,x+3/4,-z+1/4'
'x+1/2,-y+1/2,-z+1/2'
'-x+1/2,y+1/2,z+1/2'
'-y+3/4,-x+3/4,-z+1/4'
'y+3/4,x+3/4,z+1/4'
'-x,y+1/2,-z'
'x,-y+1/2,z'
'y+3/4,x+1/4,-z+3/4'
'-y+3/4,-x+1/4,z+3/4'
loop_
_atom_site_label
_atom_site_fract_x
_atom_site_fract_y
_atom_site_fract_z
Hf1 0.000 0.250 0.375
Sc1 0.000 0.250 0.875
H1 0.245 0.000 0.500
# calculated volume	209.44	Å³ per cell
# density	7.214	g/cm3

***

Energetically preferred structure: 2) | next structure: +0.252 eV/atom